Material: PtW2Se
Method: DFT, SCAN
State: PBEsol geometry

Values from the calculation:
**Total energy**: -57.154 eV per atom
**M_tot**: 0.00 μB/cell
**Formation energy without anion corrections**: 0.2578 eV/atom
**D(E_F)**: 0.698 states/eV/atom

a b c (Å): 2.9088 2.9088 26.4481
angles (deg): 90.00 90.00 120.00
Last column: nearest neighbours and their distance in Å.
Positions (direct):
Pt 0.0000 0.0000 0.0000  3 W 2.70, 6 Pt 2.91, 3 Se 3.01
Pt 0.3333 0.6667 0.6667  3 W 2.70, 6 Pt 2.91, 3 Se 3.01
Pt 0.6667 0.3333 0.3333  3 W 2.70, 6 Pt 2.91, 3 Se 3.01
W 0.0000 0.0000 0.5020  3 Se 2.51
W 0.0000 0.0000 0.7465  3 Pt 2.70, 9 W 2.89-2.91
W 0.3333 0.6667 0.1687  3 Se 2.51
W 0.3333 0.6667 0.4132  3 Pt 2.70, 9 W 2.89-2.91
W 0.6667 0.3333 0.0798  3 Pt 2.70, 9 W 2.89-2.91
W 0.6667 0.3333 0.8353  3 Se 2.51
Se 0.0000 0.0000 0.2391  3 W 2.51
Se 0.3333 0.6667 0.9057  3 W 2.51
Se 0.6667 0.3333 0.5724  3 W 2.51